ZnPRu2: relaxed, GGA-PBEsol.

Raw total energy ... -53.075 eV for the cell shown
Formation enthalpy at 0 K ... 1.18 eV/f.u.
E above lowest polymorph ... 0.600 eV/atom
Size of the total moment ... 0.001 μB per atom

Geometry as CIF:
```
data_ZnPRu2
_cell_length_a 2.789
_cell_length_b 4.648
_cell_length_c 8.515
_cell_angle_alpha 90.00
_cell_angle_beta 90.00
_cell_angle_gamma 90.00
_space_group_name_H-M_alt 'C m m 2'
_space_group_IT_number 35
_space_group_name_Hall 'C 2 -2'
loop_
_atom_site_label
_atom_site_fract_x
_atom_site_fract_y
_atom_site_fract_z
_atom_site_occupancy
Zn1 0.000 0.000 0.000 1
P1 0.000 0.500 0.272 1
Ru1 0.000 0.000 0.489 1
Ru2 0.000 0.500 0.750 1
```